Entry 1:
Material: TbPr3Ir
Method: DFT, PBE
State: relaxed

Output
The calculation puts the formation energy at -0.10 eV/atom. The calculation puts the total moment at 0.00 μB per cell.

a = 5.6518 Å, b = 5.6518 Å, c = 5.6518 Å
α = 90.00°, β = 90.00°, γ = 90.00°
Closest atoms and distances in Å follow each position.
Element x y z (fractional)
Tb  0.0000  0.0000  0.0000  12 Pr 4.00
Pr  0.0000  0.5000  0.5000  2 Ir 2.83
Pr  0.5000  0.0000  0.5000  2 Ir 2.83
Pr  0.5000  0.5000  0.0000  2 Ir 2.83
Ir  0.5000  0.5000  0.5000  6 Pr 2.83

Entry 2:
Material: TbPrIr4
Method: DFT, PBE
State: relaxed

Output
The calculation puts the formation energy at -0.72 eV/atom. The calculation puts the total moment at 0.00 μB per cell.

a = 5.4165 Å, b = 5.4165 Å, c = 5.4165 Å
α = 60.00°, β = 60.00°, γ = 60.00°
Closest atoms and distances in Å follow each position.
Element x y z (fractional)
Tb  0.0000  0.0000  0.0000  12 Ir 3.18, 4 Pr 3.32
Pr  0.2500  0.2500  0.2500  12 Ir 3.18, 4 Tb 3.32
Ir  0.1244  0.6252  0.6252  6 Ir 2.70-2.71
Ir  0.6252  0.1244  0.6252  6 Ir 2.70-2.71
Ir  0.6252  0.6252  0.1244  6 Ir 2.70-2.71
Ir  0.6252  0.6252  0.6252  6 Ir 2.70-2.71

Entry 3:
Material: Tb2PrIr
Method: DFT, PBE
State: relaxed

Output
The calculation puts the formation energy at -0.49 eV/atom. The calculation puts the total moment at 0.00 μB per cell. Its relative energy among the computed polymorphs is 0.031 eV per atom.

a = 6.4711 Å, b = 6.4711 Å, c = 9.3478 Å
α = 90.00°, β = 90.00°, γ = 144.97°
Closest atoms and distances in Å follow each position.
Element x y z (fractional)
Tb  0.1431  0.8569  0.5674  2 Ir 2.87
Tb  0.1431  0.8569  0.9326  2 Ir 2.87
Tb  0.8569  0.1431  0.0674  2 Ir 2.87
Tb  0.8569  0.1431  0.4326  2 Ir 2.87
Pr  0.4280  0.5720  0.7500  2 Ir 3.00
Pr  0.5720  0.4280  0.2500  2 Ir 3.00
Ir  0.2564  0.7436  0.2500  4 Tb 2.87, 2 Pr 3.00
Ir  0.7436  0.2564  0.7500  4 Tb 2.87, 2 Pr 3.00

Entry 4:
Material: Tb2PrIr2
Method: DFT, PBE
State: relaxed

Output
The calculation puts the formation energy at -0.67 eV/atom. The calculation puts the total moment at 0.00 μB per cell.

a = 5.5664 Å, b = 4.4705 Å, c = 10.5916 Å
α = 90.00°, β = 97.20°, γ = 90.00°
Closest atoms and distances in Å follow each position.
Element x y z (fractional)
Tb  0.1217  0.2500  0.3888  5 Ir 2.82-3.00
Tb  0.2312  0.7500  0.9707  4 Ir 2.83-3.02
Tb  0.7688  0.2500  0.0293  4 Ir 2.83-3.02
Tb  0.8783  0.7500  0.6112  5 Ir 2.82-3.00
Pr  0.4356  0.2500  0.7155  5 Ir 2.97-3.03
Pr  0.5644  0.7500  0.2845  5 Ir 2.97-3.03
Ir  0.2983  0.2500  0.1347  5 Tb 2.83-3.02, 2 Pr 3.02
Ir  0.3421  0.7500  0.5314  4 Tb 2.82-3.00, 3 Pr 2.97-3.03, 2 Ir 2.97
Ir  0.6579  0.2500  0.4686  4 Tb 2.82-3.00, 3 Pr 2.97-3.03, 2 Ir 2.97
Ir  0.7017  0.7500  0.8653  5 Tb 2.83-3.02, 2 Pr 3.02

Entry 5:
Material: TbPr2Ir3
Method: DFT, PBE
State: relaxed

Output
The calculation puts the formation energy at -0.33 eV/atom. The calculation puts the total moment at 0.00 μB per cell.

a = 6.5645 Å, b = 6.5645 Å, c = 6.5645 Å
α = 138.50°, β = 127.75°, γ = 68.82°
Closest atoms and distances in Å follow each position.
Element x y z (fractional)
Tb  0.0000  0.0000  0.0000  6 Ir 2.78-2.89
Pr  0.3290  0.3290  0.0000  6 Ir 2.91-3.09
Pr  0.6710  0.6710  0.0000  6 Ir 2.91-3.09
Ir  0.1405  0.6405  0.5000  2 Tb 2.78, 4 Pr 2.91-3.09, 1 Ir 3.04
Ir  0.5000  0.0000  0.5000  2 Tb 2.89, 4 Pr 2.97
Ir  0.8595  0.3595  0.5000  2 Tb 2.78, 4 Pr 2.91-3.09, 1 Ir 3.04

Entry 6:
Material: TbPr2Ir
Method: DFT, PBE
State: relaxed

Output
The calculation puts the formation energy at -0.38 eV/atom. The calculation puts the total moment at 0.00 μB per cell. Its relative energy among the computed polymorphs is 0.078 eV per atom.

a = 6.9111 Å, b = 6.4899 Å, c = 11.7443 Å
α = 90.00°, β = 90.00°, γ = 90.00°
Closest atoms and distances in Å follow each position.
Element x y z (fractional)
Tb  0.0726  0.2500  0.2500  2 Ir 2.75
Tb  0.4274  0.7500  0.2500  2 Ir 2.75
Tb  0.5726  0.2500  0.7500  2 Ir 2.75
Tb  0.9274  0.7500  0.7500  2 Ir 2.75
Pr  0.0887  0.2502  0.5856  2 Ir 2.85-2.87
Pr  0.0887  0.2498  0.9144  2 Ir 2.85-2.87
Pr  0.4113  0.7498  0.5856  2 Ir 2.85-2.87
Pr  0.4113  0.7502  0.9144  2 Ir 2.85-2.87
Pr  0.5887  0.2498  0.0856  2 Ir 2.85-2.87
Pr  0.5887  0.2502  0.4144  2 Ir 2.85-2.87
Pr  0.9113  0.7502  0.0856  2 Ir 2.85-2.87
Pr  0.9113  0.7498  0.4144  2 Ir 2.85-2.87
Ir  0.2500  0.0000  0.0925  2 Tb 2.75, 4 Pr 2.85-2.87
Ir  0.2500  0.5000  0.4075  2 Tb 2.75, 4 Pr 2.85-2.87
Ir  0.7500  0.0000  0.9075  2 Tb 2.75, 4 Pr 2.85-2.87
Ir  0.7500  0.5000  0.5925  2 Tb 2.75, 4 Pr 2.85-2.87

Entry 7:
Material: Tb2PrIr9
Method: DFT, PBE
State: relaxed

Output
The calculation puts the formation energy at -0.56 eV/atom. The calculation puts the total moment at 0.00 μB per cell.

a = 9.2997 Å, b = 9.2997 Å, c = 9.2997 Å
α = 33.45°, β = 33.45°, γ = 33.45°
Closest atoms and distances in Å follow each position.
Element x y z (fractional)
Tb  0.1396  0.1396  0.1396  12 Ir 3.07-3.32, 3 Tb 3.40
Tb  0.8604  0.8604  0.8604  12 Ir 3.07-3.32, 3 Tb 3.40
Pr  0.0000  0.0000  0.0000  18 Ir 3.09-3.44
Ir  0.0832  0.5819  0.5819  7 Ir 2.65-2.70
Ir  0.3328  0.3328  0.3328  6 Ir 2.65-2.67
Ir  0.4181  0.4181  0.9168  7 Ir 2.65-2.70
Ir  0.4181  0.9168  0.4181  7 Ir 2.65-2.70
Ir  0.5000  0.5000  0.5000  6 Ir 2.70
Ir  0.5819  0.0832  0.5819  7 Ir 2.65-2.70
Ir  0.5819  0.5819  0.0832  7 Ir 2.65-2.70
Ir  0.6672  0.6672  0.6672  6 Ir 2.65-2.67
Ir  0.9168  0.4181  0.4181  7 Ir 2.65-2.70

Entry 8:
Material: Pr4Te3Ir
Method: DFT, PBE
State: relaxed

Output
The calculation puts the total moment at 0.00 μB per cell. Its relative energy among the computed polymorphs is 0.000 eV per atom. As for the uncorrected formation energy: -1.2304 eV/atom.

a = 7.8585 Å, b = 7.8585 Å, c = 4.3663 Å
α = 90.00°, β = 90.00°, γ = 108.30°
Closest atoms and distances in Å follow each position.
Element x y z (fractional)
Pr  0.2130  0.2130  0.5000  2 Ir 2.93, 2 Te 3.20
Pr  0.2323  0.7677  0.0000  1 Ir 2.96, 4 Te 3.18
Pr  0.7677  0.2323  0.0000  1 Ir 2.96, 4 Te 3.18
Pr  0.7870  0.7870  0.5000  2 Ir 2.93, 2 Te 3.20
Te  0.0000  0.5000  0.5000  6 Pr 3.18-3.20
Te  0.5000  0.0000  0.5000  6 Pr 3.18-3.20
Te  0.5000  0.5000  0.0000  6 Pr 3.41-3.43
Ir  0.0000  0.0000  0.0000  6 Pr 2.93-2.96

Entry 9:
Material: PrTe2Ir
Method: DFT, PBE
State: relaxed

Output
The calculation puts the total moment at 0.00 μB per cell. As for the uncorrected formation energy: -0.2203 eV/atom.

a = 9.3951 Å, b = 9.3951 Å, c = 9.3951 Å
α = 24.65°, β = 24.65°, γ = 24.65°
Closest atoms and distances in Å follow each position.
Element x y z (fractional)
Pr  0.0000  0.0000  0.0000  2 Te 3.20
Te  0.1171  0.1171  0.1171  3 Ir 2.68
Te  0.8829  0.8829  0.8829  3 Ir 2.68
Ir  0.5000  0.5000  0.5000  6 Te 2.68

Entry 10:
Material: Pr3TeIr
Method: DFT, PBE
State: relaxed

Output
The calculation puts the total moment at 0.00 μB per cell. Its relative energy among the computed polymorphs is 0.000 eV per atom. As for the uncorrected formation energy: -0.8914 eV/atom.

a = 7.9320 Å, b = 4.4914 Å, c = 17.0862 Å
α = 90.00°, β = 90.00°, γ = 90.00°
Closest atoms and distances in Å follow each position.
Element x y z (fractional)
Pr  0.0112  0.2500  0.0912  3 Ir 3.01
Pr  0.1361  0.7500  0.4470  3 Ir 2.93-3.16
Pr  0.1773  0.2500  0.7053  1 Ir 2.88, 2 Te 3.18
Pr  0.3227  0.7500  0.2053  1 Ir 2.88, 2 Te 3.18
Pr  0.3639  0.2500  0.9470  3 Ir 2.93-3.16
Pr  0.4888  0.7500  0.5912  3 Ir 3.01
Pr  0.5112  0.2500  0.4088  3 Ir 3.01
Pr  0.6361  0.7500  0.0530  3 Ir 2.93-3.16
Pr  0.6773  0.2500  0.7947  1 Ir 2.88, 2 Te 3.18
Pr  0.8227  0.7500  0.2947  1 Ir 2.88, 2 Te 3.18
Pr  0.8639  0.2500  0.5530  3 Ir 2.93-3.16
Pr  0.9888  0.7500  0.9088  3 Ir 3.01
Te  0.1204  0.2500  0.2980  6 Pr 3.18-3.40
Te  0.3796  0.7500  0.7980  6 Pr 3.18-3.40
Te  0.6204  0.2500  0.2020  6 Pr 3.18-3.40
Te  0.8796  0.7500  0.7020  6 Pr 3.18-3.40
Ir  0.2392  0.7500  0.0409  7 Pr 2.88-3.16
Ir  0.2608  0.2500  0.5409  7 Pr 2.88-3.16
Ir  0.7392  0.7500  0.4591  7 Pr 2.88-3.16
Ir  0.7608  0.2500  0.9591  7 Pr 2.88-3.16

Entry 11:
Material: Pr4TeIr2
Method: DFT, PBE
State: relaxed

Output
The calculation puts the total moment at 0.00 μB per cell. Its relative energy among the computed polymorphs is 0.027 eV per atom. As for the uncorrected formation energy: -0.7592 eV/atom.

a = 13.3156 Å, b = 13.3156 Å, c = 13.3156 Å
α = 18.81°, β = 18.81°, γ = 18.81°
Closest atoms and distances in Å follow each position.
Element x y z (fractional)
Pr  0.1122  0.1122  0.1122  3 Ir 2.97, 3 Te 3.30
Pr  0.2962  0.2962  0.2962  3 Ir 2.86
Pr  0.7038  0.7038  0.7038  3 Ir 2.86
Pr  0.8878  0.8878  0.8878  3 Ir 2.97, 3 Te 3.30
Te  0.5000  0.5000  0.5000  6 Pr 3.30
Ir  0.4053  0.4053  0.4053  6 Pr 2.86-2.97
Ir  0.5947  0.5947  0.5947  6 Pr 2.86-2.97

Entry 12:
Material: Pr2TeIr
Method: DFT, PBE
State: relaxed

Output
The calculation puts the total moment at 0.00 μB per cell. Its relative energy among the computed polymorphs is 0.022 eV per atom. As for the uncorrected formation energy: -0.9685 eV/atom.

a = 8.0119 Å, b = 8.0119 Å, c = 8.0119 Å
α = 30.92°, β = 30.92°, γ = 30.92°
Closest atoms and distances in Å follow each position.
Element x y z (fractional)
Pr  0.0000  0.0000  0.0000  3 Ir 2.94
Pr  0.1942  0.1942  0.1942  3 Ir 2.93
Te  0.4306  0.4306  0.4306  6 Pr 3.31-3.32
Ir  0.5964  0.5964  0.5964  6 Pr 2.93-2.94

What is the total moment in the ninth record? 0.00 μB per cell

Please write out number 8 again, unchanged.
Material: Pr4Te3Ir
Method: DFT, PBE
State: relaxed

Output
The calculation puts the total moment at 0.00 μB per cell. Its relative energy among the computed polymorphs is 0.000 eV per atom. As for the uncorrected formation energy: -1.2304 eV/atom.

a = 7.8585 Å, b = 7.8585 Å, c = 4.3663 Å
α = 90.00°, β = 90.00°, γ = 108.30°
Closest atoms and distances in Å follow each position.
Element x y z (fractional)
Pr  0.2130  0.2130  0.5000  2 Ir 2.93, 2 Te 3.20
Pr  0.2323  0.7677  0.0000  1 Ir 2.96, 4 Te 3.18
Pr  0.7677  0.2323  0.0000  1 Ir 2.96, 4 Te 3.18
Pr  0.7870  0.7870  0.5000  2 Ir 2.93, 2 Te 3.20
Te  0.0000  0.5000  0.5000  6 Pr 3.18-3.20
Te  0.5000  0.0000  0.5000  6 Pr 3.18-3.20
Te  0.5000  0.5000  0.0000  6 Pr 3.41-3.43
Ir  0.0000  0.0000  0.0000  6 Pr 2.93-2.96

Which formula does entry 2 have? TbPrIr4